Entry 1:
NaOs2O6 at its PBEsol-relaxed geometry. Source: Alexandria via LeMat-Bulk, functional meta-GGA SCAN.

## Properties
raw total energy = -390.26 eV/cell
formation energy from raw total energies = -1.085 eV/atom
symmetry = Fd-3m (227)

Cell lengths 7.145, 7.145, 7.145 Å; angles 60.00, 60.00, 60.00 degrees
Fractional coordinates of all 18 atoms:
Na: 0.125 0.125 0.125
Na: 0.875 0.875 0.875
Os: 0.000 0.500 0.500
Os: 0.500 0.000 0.500
Os: 0.500 0.500 0.000
Os: 0.500 0.500 0.500
O: 0.184 0.184 0.566
O: 0.184 0.566 0.184
O: 0.184 0.566 0.566
O: 0.434 0.434 0.816
O: 0.434 0.816 0.434
O: 0.434 0.816 0.816
O: 0.566 0.184 0.184
O: 0.566 0.184 0.566
O: 0.566 0.566 0.184
O: 0.816 0.434 0.434
O: 0.816 0.434 0.816
O: 0.816 0.816 0.434

***

Entry 2:
ScOsPb at its PBEsol-relaxed geometry. Source: Alexandria via LeMat-Bulk, functional meta-GGA SCAN.

## Properties
DFT formation energy = 0.45 eV/atom
raw total energy = -160.55 eV/cell
polymorph energy (0 for the lowest one) = 0.4700 eV/atom
symmetry = F-43m (216)

Cell lengths 4.518, 4.518, 4.518 Å; angles 60.00, 60.00, 60.00 degrees
Fractional coordinates of all 3 atoms:
Sc: 0.000 0.000 0.000
Os: 0.500 0.500 0.500
Pb: 0.750 0.750 0.750

***

Entry 3:
P2OsRu at its PBEsol-relaxed geometry. Source: Alexandria via LeMat-Bulk, functional meta-GGA SCAN.

## Properties
DFT formation energy = -0.11 eV/atom
raw total energy = -127.93 eV/cell
polymorph energy (0 for the lowest one) = 0.0405 eV/atom
symmetry = R-3m (166)

Cell lengths 7.469, 7.469, 7.469 Å; angles 22.04, 22.04, 22.04 degrees
Fractional coordinates of all 4 atoms:
P: 0.249 0.249 0.249
P: 0.751 0.751 0.751
Os: 0.000 0.000 0.000
Ru: 0.500 0.500 0.500

***

Entry 4:
CaLaHg3 at its PBEsol-relaxed geometry. Source: Alexandria via LeMat-Bulk, functional meta-GGA SCAN.

## Properties
DFT formation energy = -0.07 eV/atom
raw total energy = -257.62 eV/cell
symmetry = Pm-3m (221)

Cell lengths 5.367, 5.367, 5.367 Å; angles 90.00, 90.00, 90.00 degrees
Fractional coordinates of all 5 atoms:
Ca: 0.000 0.000 0.000
La: 0.500 0.500 0.500
Hg: 0.000 0.000 0.500
Hg: 0.000 0.500 0.000
Hg: 0.500 0.000 0.000

***

Entry 5:
Sn7Ir5 at its PBEsol-relaxed geometry. Source: Alexandria via LeMat-Bulk, functional meta-GGA SCAN.

## Properties
DFT formation energy = -0.28 eV/atom
raw total energy = -610.25 eV/cell
symmetry = I4mm (107)

Cell lengths 6.851, 6.851, 6.851 Å; angles 102.85, 102.85, 123.72 degrees
Fractional coordinates of all 12 atoms:
Sn: 0.000 0.000 0.000
Sn: 0.017 0.517 0.500
Sn: 0.395 0.395 0.570
Sn: 0.395 0.826 0.000
Sn: 0.517 0.017 0.500
Sn: 0.826 0.395 0.000
Sn: 0.826 0.826 0.430
Ir: 0.036 0.279 0.757
Ir: 0.279 0.036 0.757
Ir: 0.279 0.522 0.243
Ir: 0.522 0.279 0.243
Ir: 0.599 0.599 0.000

***

Entry 6:
Ba2ZnBi2 at its PBEsol-relaxed geometry. Source: Alexandria via LeMat-Bulk, functional meta-GGA SCAN.

## Properties
DFT formation energy = -0.85 eV/atom
raw total energy = -508.06 eV/cell
symmetry = Ibam (72)

Cell lengths 8.768, 8.768, 8.768 Å; angles 131.05, 70.63, 132.44 degrees
Fractional coordinates of all 10 atoms:
Ba: 0.135 0.208 0.343
Ba: 0.365 0.708 0.074
Ba: 0.635 0.292 0.926
Ba: 0.865 0.792 0.657
Zn: 0.250 0.750 0.500
Zn: 0.750 0.250 0.500
Bi: 0.114 0.710 0.823
Bi: 0.386 0.210 0.596
Bi: 0.614 0.790 0.404
Bi: 0.886 0.290 0.177

***

Entry 7:
La2ZrHgRh at its PBEsol-relaxed geometry. Source: Alexandria via LeMat-Bulk, functional meta-GGA SCAN.

## Properties
DFT formation energy = 0.74 eV/atom
raw total energy = -215.14 eV/cell
symmetry = P4/mmm (123)

Cell lengths 5.675, 5.675, 5.188 Å; angles 90.00, 90.00, 90.00 degrees
Fractional coordinates of all 5 atoms:
La: 0.000 0.500 0.000
La: 0.500 0.000 0.000
Zr: 0.000 0.000 0.500
Hg: 0.000 0.000 0.000
Rh: 0.500 0.500 0.500

***

Entry 8:
LaSc2Ir at its PBEsol-relaxed geometry. Source: Alexandria via LeMat-Bulk, functional meta-GGA SCAN.

## Properties
DFT formation energy = -0.10 eV/atom
raw total energy = -143.08 eV/cell
polymorph energy (0 for the lowest one) = 0.4103 eV/atom
symmetry = Cmmm (65)

Cell lengths 5.433, 5.433, 3.139 Å; angles 90.00, 90.00, 116.58 degrees
Fractional coordinates of all 4 atoms:
La: 0.000 0.000 0.000
Sc: 0.000 0.500 0.500
Sc: 0.500 0.000 0.500
Ir: 0.500 0.500 0.000

***

Look up the raw total energy of the second one. -160.55 eV/cell